[1]
A plane-wave DFT calculation with GGA-PBE was carried out for a geometry-optimized Zr5GaRu4 structure.

Cell lengths 3.2802, 3.2802, 16.6565 Å; angles 90.00, 90.00, 90.00 degrees
Last column: nearest neighbours and their distance in Å.
Space group P4/mmm (No. 123)
One atom of each set of equivalent atoms:
Zr 0.0000 0.0000 0.0000 [1 per cell]  8 Ru 2.84
Zr 0.0000 0.0000 0.1970 [2 per cell]  8 Ru 2.84
Zr 0.0000 0.0000 0.3922 [2 per cell]  4 Ru 2.83, 4 Ga 2.93
Ga 0.5000 0.5000 0.5000 [1 per cell]  8 Zr 2.93, 4 Ga 3.28
Ru 0.5000 0.5000 0.0982 [2 per cell]  8 Zr 2.84
Ru 0.5000 0.5000 0.2953 [2 per cell]  8 Zr 2.83-2.84

Summary:
D(E_F): 5.26 states/eV/f.u.
ΔH_f (0 K): -0.591 eV per atom

***

[2]
A plane-wave DFT calculation with GGA-PBE was carried out for a geometry-optimized ZrGaRu structure.

Cell lengths 12.5826, 3.4075, 7.0915 Å; angles 90.00, 90.00, 90.00 degrees
Last column: nearest neighbours and their distance in Å.
Space group Pmma (No. 51)
One atom of each set of equivalent atoms:
Zr 0.0452 0.0000 0.2338 [4 per cell]  5 Ga 2.86-2.90, 6 Ru 2.92-3.14
Zr 0.2500 0.0000 0.6627 [2 per cell]  5 Ga 2.72-2.81, 6 Ru 3.00-3.02
Ga 0.0932 0.5000 0.5529 [4 per cell]  1 Ga 2.46, 2 Ru 2.60-2.68, 2 Zr 2.72
Ga 0.2500 0.0000 0.0585 [2 per cell]  6 Ru 2.49-2.54
Ru 0.1200 0.5000 0.9275 [4 per cell]  3 Ga 2.54-2.68
Ru 0.2500 0.5000 0.3141 [2 per cell]  4 Ga 2.49-2.60

Summary:
D(E_F): 1.38 states/eV/f.u.
ΔH_f (0 K): -0.584 eV per atom